Below is a geometry-optimized PuBi2Pt structure, with properties calculated at the PBE level.

Results
- size of the total moment (μB per atom) = 1.330
- formation enthalpy at 0 K (eV per atom) = -0.39

Cell and atoms, written as POSCAR:
```
PuBi2Pt
1.0
4.762 0.000 0.000
0.000 4.762 0.000
0.000 0.000 18.200
Pu Bi Pt
4 8 4
Direct
0.000 0.000 0.136 Pu
0.000 0.000 0.864 Pu
0.500 0.500 0.364 Pu
0.500 0.500 0.636 Pu
0.000 0.000 0.340 Bi
0.000 0.000 0.660 Bi
0.000 0.500 0.000 Bi
0.000 0.500 0.500 Bi
0.500 0.000 0.000 Bi
0.500 0.000 0.500 Bi
0.500 0.500 0.160 Bi
0.500 0.500 0.840 Bi
0.000 0.500 0.250 Pt
0.000 0.500 0.750 Pt
0.500 0.000 0.250 Pt
0.500 0.000 0.750 Pt
```


Below is a geometry-optimized Pu3BiPt2 structure, with properties calculated at the PBE level.

Results
- size of the total moment (μB per atom) = 2.760
- formation enthalpy at 0 K (eV per atom) = -0.54
- distance to the lowest polymorph of the same formula (meV/atom) = 34

Cell and atoms, written as POSCAR:
```
Pu3BiPt2
1.0
4.606 0.000 0.000
0.000 13.372 0.000
0.000 0.000 4.387
Pu Bi Pt
6 2 4
Direct
0.000 0.000 0.000 Pu
0.000 0.174 0.500 Pu
0.000 0.826 0.500 Pu
0.500 0.326 0.500 Pu
0.500 0.500 0.000 Pu
0.500 0.674 0.500 Pu
0.000 0.500 0.500 Bi
0.500 0.000 0.500 Bi
0.000 0.326 0.000 Pt
0.000 0.674 0.000 Pt
0.500 0.174 0.000 Pt
0.500 0.826 0.000 Pt
```


Below is a geometry-optimized Pu2BiPt2 structure, with properties calculated at the PBE level.

Results
- size of the total moment (μB per atom) = 2.137
- formation enthalpy at 0 K (eV per atom) = -0.59
- distance to the lowest polymorph of the same formula (meV/atom) = 123

Cell and atoms, written as POSCAR:
```
Pu2BiPt2
1.0
4.931 0.000 0.000
-2.466 4.271 0.000
0.000 0.000 15.797
Pu Bi Pt
6 3 6
Direct
0.000 0.000 0.214 Pu
0.000 0.000 0.786 Pu
0.333 0.667 0.452 Pu
0.333 0.667 0.881 Pu
0.667 0.333 0.119 Pu
0.667 0.333 0.548 Pu
0.000 0.000 0.000 Bi
0.333 0.667 0.667 Bi
0.667 0.333 0.333 Bi
0.000 0.000 0.412 Pt
0.000 0.000 0.588 Pt
0.333 0.667 0.078 Pt
0.333 0.667 0.255 Pt
0.667 0.333 0.745 Pt
0.667 0.333 0.922 Pt
```


Below is a geometry-optimized PuBi2Pt structure, with properties calculated at the PBE level.

Results
- size of the total moment (μB per atom) = 1.630
- formation enthalpy at 0 K (eV per atom) = 0.08

Cell and atoms, written as POSCAR:
```
PuBi2Pt
1.0
3.617 0.000 0.000
-1.808 3.132 0.000
0.000 0.000 31.001
Pu Bi Pt
3 6 3
Direct
0.000 0.000 0.000 Pu
0.333 0.667 0.667 Pu
0.667 0.333 0.333 Pu
0.000 0.000 0.106 Bi
0.000 0.000 0.894 Bi
0.333 0.667 0.561 Bi
0.333 0.667 0.772 Bi
0.667 0.333 0.228 Bi
0.667 0.333 0.439 Bi
0.000 0.000 0.500 Pt
0.333 0.667 0.167 Pt
0.667 0.333 0.833 Pt
```


Below is a geometry-optimized Pu2Bi2Pt15 structure, with properties calculated at the PBE level.

Results
- size of the total moment (μB per atom) = 0.491
- formation enthalpy at 0 K (eV per atom) = -0.25

Cell and atoms, written as POSCAR:
```
Pu2Bi2Pt15
1.0
4.703 2.715 4.591
-4.703 2.715 4.591
0.000 -5.430 4.591
Pu Bi Pt
2 2 15
Direct
0.105 0.105 0.105 Pu
0.895 0.895 0.895 Pu
0.361 0.361 0.361 Bi
0.639 0.639 0.639 Bi
0.000 0.000 0.500 Pt
0.000 0.313 0.687 Pt
0.000 0.500 0.000 Pt
0.000 0.687 0.313 Pt
0.163 0.654 0.654 Pt
0.313 0.000 0.687 Pt
0.313 0.687 0.000 Pt
0.346 0.346 0.837 Pt
0.346 0.837 0.346 Pt
0.500 0.000 0.000 Pt
0.654 0.163 0.654 Pt
0.654 0.654 0.163 Pt
0.687 0.000 0.313 Pt
0.687 0.313 0.000 Pt
0.837 0.346 0.346 Pt
```


Below is a geometry-optimized PuBiPt structure, with properties calculated at the PBE level.

Results
- size of the total moment (μB per atom) = 1.717
- formation enthalpy at 0 K (eV per atom) = -0.45

Cell and atoms, written as POSCAR:
```
PuBiPt
1.0
8.281 0.000 0.000
0.000 4.794 0.000
-2.747 0.000 7.927
Pu Bi Pt
4 4 4
Direct
0.242 0.000 0.228 Pu
0.258 0.500 0.772 Pu
0.742 0.500 0.228 Pu
0.758 0.000 0.772 Pu
0.000 0.000 0.500 Bi
0.000 0.500 0.000 Bi
0.500 0.000 0.000 Bi
0.500 0.500 0.500 Bi
0.124 0.500 0.375 Pt
0.376 0.000 0.625 Pt
0.624 0.000 0.375 Pt
0.876 0.500 0.625 Pt
```